[1]
Sc2Mn3Ga4 | PBE | optimized geometry

Structure (CIF):
```
data_Sc2Mn3Ga4
_cell_length_a 7.6202
_cell_length_b 7.6202
_cell_length_c 7.4165
_cell_angle_alpha 90.00
_cell_angle_beta 90.00
_cell_angle_gamma 137.61
_symmetry_space_group_name_H-M 'P 1'
_symmetry_Int_Tables_number 1
_symmetry_space_group_name_Hall 'P 1'
loop_
_atom_site_label
_atom_site_type_symbol
_atom_site_fract_x
_atom_site_fract_y
_atom_site_fract_z
Sc1 Sc 0.1178 0.8822 0.9121
Sc2 Sc 0.3822 0.6178 0.4121
Sc3 Sc 0.6178 0.3822 0.5879
Sc4 Sc 0.8822 0.1178 0.0879
Mn1 Mn 0.0000 0.0000 0.5000
Mn2 Mn 0.0332 0.4668 0.7500
Mn3 Mn 0.4668 0.0332 0.2500
Mn4 Mn 0.5000 0.5000 0.0000
Mn5 Mn 0.5332 0.9668 0.7500
Mn6 Mn 0.9668 0.5332 0.2500
Ga1 Ga 0.1811 0.8189 0.5394
Ga2 Ga 0.2080 0.2920 0.7500
Ga3 Ga 0.2920 0.2080 0.2500
Ga4 Ga 0.3189 0.6811 0.0394
Ga5 Ga 0.6811 0.3189 0.9606
Ga6 Ga 0.7080 0.7920 0.7500
Ga7 Ga 0.7920 0.7080 0.2500
Ga8 Ga 0.8189 0.1811 0.4606
```

Summary:
**Space group**: Cmce
**Density**: 6.10 g cm⁻³
**Size of the total moment**: 12.46 μB per cell
**Fermi-level density of states**: 16.6 states/eV/cell
**Electronic total energy**: -6.08 eV per atom
**Energy of formation from the pure elements**: -0.276 eV per atom

[2]
ScMn3Ga | PBE | optimized geometry

Structure (CIF):
```
data_ScMn3Ga
_cell_length_a 4.6408
_cell_length_b 4.6408
_cell_length_c 4.6408
_cell_angle_alpha 90.00
_cell_angle_beta 90.00
_cell_angle_gamma 90.00
_symmetry_space_group_name_H-M 'P 1'
_symmetry_Int_Tables_number 1
_symmetry_space_group_name_Hall 'P 1'
loop_
_atom_site_label
_atom_site_type_symbol
_atom_site_fract_x
_atom_site_fract_y
_atom_site_fract_z
Sc1 Sc 0.0000 0.0000 0.0000
Mn1 Mn 0.0000 0.0000 0.5000
Mn2 Mn 0.0000 0.5000 0.0000
Mn3 Mn 0.5000 0.0000 0.0000
Ga1 Ga 0.5000 0.5000 0.5000
```

Summary:
**Energy relative to the lowest polymorph listed for this composition**: 670 meV/atom
**Space group**: Pm-3m
**Density**: 4.64 g cm⁻³
**Size of the total moment**: 9.52 μB per cell
**Fermi-level density of states**: 7.6 states/eV/cell
**Electronic total energy**: -6.06 eV per atom
**Energy of formation from the pure elements**: 1.311 eV per atom

[3]
Sc2Mn2Ga | PBE | optimized geometry

Structure (CIF):
```
data_Sc2Mn2Ga
_cell_length_a 6.3836
_cell_length_b 6.3836
_cell_length_c 4.0670
_cell_angle_alpha 90.00
_cell_angle_beta 90.00
_cell_angle_gamma 90.00
_symmetry_space_group_name_H-M 'P 1'
_symmetry_Int_Tables_number 1
_symmetry_space_group_name_Hall 'P 1'
loop_
_atom_site_label
_atom_site_type_symbol
_atom_site_fract_x
_atom_site_fract_y
_atom_site_fract_z
Sc1 Sc 0.1787 0.3213 0.0000
Sc2 Sc 0.3213 0.8213 0.0000
Sc3 Sc 0.6787 0.1787 0.0000
Sc4 Sc 0.8213 0.6787 0.0000
Mn1 Mn 0.1153 0.6153 0.5000
Mn2 Mn 0.3847 0.1153 0.5000
Mn3 Mn 0.6153 0.8847 0.5000
Mn4 Mn 0.8847 0.3847 0.5000
Ga1 Ga 0.0000 0.0000 0.5000
Ga2 Ga 0.5000 0.5000 0.5000
```

Summary:
**Space group**: P4/mbm
**Density**: 5.40 g cm⁻³
**Size of the total moment**: 3.38 μB per cell
**Fermi-level density of states**: 9.5 states/eV/cell
**Electronic total energy**: -6.97 eV per atom
**Energy of formation from the pure elements**: -0.167 eV per atom